Entry 1:
A crystal of SrLaI5 relaxed with PBEsol. Source: Alexandria, functional meta-GGA SCAN.

Cell lengths 11.214, 11.214, 7.770 Å; angles 91.24, 91.24, 147.58 degrees
Sites, in units of the cell vectors:
Sr (0.176, 0.824, 0.750)
Sr (0.824, 0.176, 0.250)
La (0.420, 0.580, 0.750)
La (0.580, 0.420, 0.250)
I (0.132, 0.868, 0.250)
I (0.211, 0.287, 0.391)
I (0.287, 0.211, 0.891)
I (0.301, 0.696, 0.490)
I (0.304, 0.699, 0.010)
I (0.696, 0.301, 0.990)
I (0.699, 0.304, 0.510)
I (0.713, 0.789, 0.109)
I (0.789, 0.713, 0.609)
I (0.868, 0.132, 0.750)

Properties
calculated density: 5476 kg/m3
raw formation energy: -11.78 eV per formula unit
relative energy among the computed polymorphs: 0.25 eV per formula unit

Entry 2:
A crystal of MnCrFe relaxed with PBEsol. Source: Alexandria, functional meta-GGA SCAN.

Cell lengths 6.231, 6.078, 2.401 Å; angles 82.34, 75.21, 22.45 degrees
Sites, in units of the cell vectors:
Mn (0.000, 0.000, 0.000)
Cr (0.665, 0.665, 0.335)
Fe (0.332, 0.332, 0.668)

Properties
DFT formation energy: 0.3 eV/f.u.
calculated density: 8382 kg/m3
relative energy among the computed polymorphs: 0.35 eV per formula unit